No. 1
DFT (PBE with a Hubbard U) results for a relaxed VNO2F crystal.

For the calculated volume, the calculation gives 11.1 Å³ per atom. The value obtained for the total magnetization is 3.00 μB/f.u. Its total energy is -29.25 eV for the cell shown. As for the density of states at the Fermi level: 2.02 states/eV per cell.

The space group is P4/mmm (No. 123) and the conventional cell measures 3.735, 3.735 and 3.982 Å, with angles of 90.00, 90.00 and 90.00 degrees. The distinct sites, in fractional coordinates, are V at (0.000, 0.000, 0.000), N at (0.500, 0.500, 0.500), O at (0.000, 0.500, 0.000) and F at (0.000, 0.000, 0.500).

=====

No. 2
DFT (PBE with a Hubbard U) results for a relaxed VN2OF crystal.

For the calculated volume, the calculation gives 11.3 Å³ per atom. The value obtained for the total magnetization is 1.87 μB/f.u. Its total energy is -28.06 eV for the cell shown. As for the density of states at the Fermi level: 3.98 states/eV per cell.

The space group is P4/mmm (No. 123) and the conventional cell measures 3.927, 3.927 and 3.653 Å, with angles of 90.00, 90.00 and 90.00 degrees. The distinct sites, in fractional coordinates, are V at (0.000, 0.000, 0.000), N at (0.000, 0.500, 0.000), O at (0.000, 0.000, 0.500) and F at (0.500, 0.500, 0.500).

=====

No. 3
DFT (PBE with a Hubbard U) results for a relaxed WNO2F crystal.

For the calculated volume, the calculation gives 10.1 Å³ per atom. The value obtained for the total magnetization is 0.75 μB/f.u. Its total energy is -23.19 eV for the cell shown. As for the density of states at the Fermi level: 0.22 states/eV per cell.

The space group is P4/mmm (No. 123) and the conventional cell measures 3.783, 3.783 and 3.529 Å, with angles of 90.00, 90.00 and 90.00 degrees. The distinct sites, in fractional coordinates, are W at (0.000, 0.000, 0.000), N at (0.500, 0.500, 0.500), O at (0.000, 0.500, 0.500) and F at (0.500, 0.500, 0.000).

=====

No. 4
DFT (PBE with a Hubbard U) results for a relaxed WNO2F crystal.

For the calculated volume, the calculation gives 12.1 Å³ per atom. The value obtained for the total magnetization is 2.01 μB/f.u. Its total energy is -30.51 eV for the cell shown. As for the density of states at the Fermi level: 3.51 states/eV per cell.

The space group is P4/mmm (No. 123) and the conventional cell measures 3.835, 3.835 and 4.128 Å, with angles of 90.00, 90.00 and 90.00 degrees. The distinct sites, in fractional coordinates, are W at (0.000, 0.000, 0.000), N at (0.000, 0.000, 0.500), O at (0.000, 0.500, 0.000) and F at (0.500, 0.500, 0.500).

=====

No. 5
DFT (PBE with a Hubbard U) results for a relaxed WNO2F crystal.

For the calculated volume, the calculation gives 9.8 Å³ per atom. The value obtained for the total magnetization is 1.66 μB/f.u. Its total energy is -21.10 eV for the cell shown. As for the density of states at the Fermi level: 0.95 states/eV per cell.

The space group is P4/mmm (No. 123) and the conventional cell measures 3.682, 3.682 and 3.607 Å, with angles of 90.00, 90.00 and 90.00 degrees. The distinct sites, in fractional coordinates, are W at (0.000, 0.000, 0.000), N at (0.500, 0.500, 0.000), O at (0.000, 0.500, 0.500) and F at (0.500, 0.500, 0.500).

=====

Among the records above, which one has the highest total energy?
number 5